1.
3
Lattice="5.1511 0.0000 0.0000 0.0000 5.1511 0.0000 0.0000 0.0000 3.9063" Properties=species:S:1:pos:R:3 comment="PBE CaPb2, relaxed" dos_ef_per_ev_fu=1.53 magmom_total_mub_per_cell=0.00 space_group="P4/mmm, No. 123" dft_energy_ev_per_cell=-9.9 pbc="T T T"
Pb 0.0000 2.5755 1.9531
Pb 2.5755 0.0000 1.9531
Ca 0.0000 0.0000 0.0000


2.
3
Lattice="-3.0059 0.2278 0.4845 1.3810 -2.7138 0.2238 1.1939 1.1729 6.8561" Properties=species:S:1:pos:R:3 comment="PBE AlTlMo, relaxed" dos_ef_per_ev_fu=2.22 magmom_total_mub_per_cell=0.00 space_group="P3m1, No. 156" dft_energy_ev_per_cell=-15.6 pbc="T T T"
Tl 0.7080 -0.9578 4.8436
Mo -1.1692 -0.3849 2.5478
Al 0.0301 0.0296 0.1730


3.
4
Lattice="-4.0450 3.9550 1.3464 -2.9384 -0.4320 4.9997 0.9723 3.8118 4.2828" Properties=species:S:1:pos:R:3 comment="PBE BaLiCaBi, relaxed" dos_ef_per_ev_fu=2.01 magmom_total_mub_per_cell=0.00 space_group="F-43m, No. 216" dft_energy_ev_per_cell=-11.6 pbc="T T T"
Ca -1.5028 1.8337 2.6572
Li 0.0000 0.0000 0.0000
Bi -3.0055 3.6674 5.3144
Ba -4.5083 5.5011 7.9716


- What is the formula in the first record?
  CaPb2